A plane-wave DFT calculation with meta-GGA SCAN was carried out for a crystal of LiGePtW2 relaxed with PBEsol.

Symmetry: No. 123
Density of states at the Fermi level: 4.49 states/eV per cell
ΔE_f: 6.41 eV/f.u.

POSCAR file:
```
LiGePtW2
1.0
4.2050 0.0000 0.0000
0.0000 4.2050 0.0000
0.0000 0.0000 4.1472
Li Ge Pt W
1 1 1 2
direct
0.0000 0.0000 0.0000
0.5000 0.5000 0.5000
0.0000 0.0000 0.5000
0.0000 0.5000 0.0000
0.5000 0.0000 0.0000
```

---

A plane-wave DFT calculation with meta-GGA SCAN was carried out for a crystal of RbLi3Ge relaxed with PBEsol.

Symmetry: No. 221
ΔE_f: -1.08 eV/f.u.

POSCAR file:
```
RbLi3Ge
1.0
5.0636 0.0000 0.0000
0.0000 5.0636 0.0000
0.0000 0.0000 5.0636
Rb Li Ge
1 3 1
direct
0.0000 0.0000 0.0000
0.0000 0.5000 0.5000
0.5000 0.0000 0.5000
0.5000 0.5000 0.0000
0.5000 0.5000 0.5000
```

---

A plane-wave DFT calculation with meta-GGA SCAN was carried out for a crystal of RbLiGe3 relaxed with PBEsol.

Symmetry: No. 221
Density of states at the Fermi level: 2.21 states/eV per cell
ΔE_f: 1.85 eV/f.u.

POSCAR file:
```
RbLiGe3
1.0
4.8406 0.0000 0.0000
0.0000 4.8406 0.0000
0.0000 0.0000 4.8406
Rb Li Ge
1 1 3
direct
0.0000 0.0000 0.0000
0.5000 0.5000 0.5000
0.0000 0.5000 0.5000
0.5000 0.0000 0.5000
0.5000 0.5000 0.0000
```

---

A plane-wave DFT calculation with meta-GGA SCAN was carried out for a crystal of LiRe3Ge relaxed with PBEsol.

Symmetry: No. 221
Density of states at the Fermi level: 6.18 states/eV per cell
ΔE_f: 9.40 eV/f.u.

POSCAR file:
```
LiRe3Ge
1.0
4.5270 0.0000 0.0000
0.0000 4.5270 0.0000
0.0000 0.0000 4.5270
Li Re Ge
1 3 1
direct
0.0000 0.0000 0.0000
0.0000 0.5000 0.5000
0.5000 0.0000 0.5000
0.5000 0.5000 0.0000
0.5000 0.5000 0.5000
```

---

A plane-wave DFT calculation with meta-GGA SCAN was carried out for a crystal of Li2Ge2Rh relaxed with PBEsol.

Symmetry: No. 127
Density of states at the Fermi level: 3.53 states/eV per cell
ΔE_f: -2.07 eV/f.u.

POSCAR file:
```
Li2Ge2Rh
1.0
6.4093 0.0000 0.0000
0.0000 6.4093 0.0000
0.0000 0.0000 3.4953
Li Ge Rh
4 4 2
direct
0.1668 0.3332 0.0000
0.3332 0.8332 0.0000
0.6668 0.1668 0.0000
0.8332 0.6668 0.0000
0.1389 0.6389 0.5000
0.3611 0.1389 0.5000
0.6389 0.8611 0.5000
0.8611 0.3611 0.5000
0.0000 0.0000 0.5000
0.5000 0.5000 0.5000
```

---

A plane-wave DFT calculation with meta-GGA SCAN was carried out for a crystal of LiGeRh3 relaxed with PBEsol.

Symmetry: No. 221
Density of states at the Fermi level: 4.17 states/eV per cell
ΔE_f: 2.02 eV/f.u.

POSCAR file:
```
LiGeRh3
1.0
4.5106 0.0000 0.0000
0.0000 4.5106 0.0000
0.0000 0.0000 4.5106
Li Ge Rh
1 1 3
direct
0.0000 0.0000 0.0000
0.5000 0.5000 0.5000
0.0000 0.5000 0.5000
0.5000 0.0000 0.5000
0.5000 0.5000 0.0000
```

---

A plane-wave DFT calculation with meta-GGA SCAN was carried out for a crystal of LiGe2Rh relaxed with PBEsol.

Symmetry: No. 225
Density of states at the Fermi level: 1.41 states/eV per cell
ΔE_f: -1.82 eV/f.u.

POSCAR file:
```
LiGe2Rh
1.0
0.0000 3.0311 3.0311
3.0311 0.0000 3.0311
3.0311 3.0311 0.0000
Li Ge Rh
1 2 1
direct
0.0000 0.0000 0.0000
0.2500 0.2500 0.2500
0.7500 0.7500 0.7500
0.5000 0.5000 0.5000
```

---

A plane-wave DFT calculation with meta-GGA SCAN was carried out for a crystal of LiGe3Rh relaxed with PBEsol.

Symmetry: No. 221
Density of states at the Fermi level: 3.07 states/eV per cell
ΔE_f: 3.46 eV/f.u.

POSCAR file:
```
LiGe3Rh
1.0
4.3441 0.0000 0.0000
0.0000 4.3441 0.0000
0.0000 0.0000 4.3441
Li Ge Rh
1 3 1
direct
0.0000 0.0000 0.0000
0.0000 0.0000 0.5000
0.0000 0.5000 0.0000
0.5000 0.0000 0.0000
0.5000 0.5000 0.5000
```

---

A plane-wave DFT calculation with meta-GGA SCAN was carried out for a crystal of Li3GeRu relaxed with PBEsol.

Symmetry: No. 221
Density of states at the Fermi level: 3.03 states/eV per cell
ΔE_f: 4.47 eV/f.u.

POSCAR file:
```
Li3GeRu
1.0
4.4473 0.0000 0.0000
0.0000 4.4473 0.0000
0.0000 0.0000 4.4473
Li Ge Ru
3 1 1
direct
0.0000 0.0000 0.5000
0.0000 0.5000 0.0000
0.5000 0.0000 0.0000
0.5000 0.5000 0.5000
0.0000 0.0000 0.0000
```

---

A plane-wave DFT calculation with meta-GGA SCAN was carried out for a crystal of LiGe2Ru relaxed with PBEsol.

Symmetry: No. 225
Density of states at the Fermi level: 1.20 states/eV per cell
ΔE_f: -1.16 eV/f.u.

POSCAR file:
```
LiGe2Ru
1.0
0.0000 3.0161 3.0161
3.0161 0.0000 3.0161
3.0161 3.0161 0.0000
Li Ge Ru
1 2 1
direct
0.0000 0.0000 0.0000
0.2500 0.2500 0.2500
0.7500 0.7500 0.7500
0.5000 0.5000 0.5000
```

---

A plane-wave DFT calculation with meta-GGA SCAN was carried out for a crystal of LiGeS3 relaxed with PBEsol.

Symmetry: No. 221
Density of states at the Fermi level: 3.48 states/eV per cell
Formation energy (no corrections): 0.014 eV/atom

POSCAR file:
```
LiGeS3
1.0
4.7034 0.0000 0.0000
0.0000 4.7034 0.0000
0.0000 0.0000 4.7034
Li Ge S
1 1 3
direct
0.0000 0.0000 0.0000
0.5000 0.5000 0.5000
0.0000 0.5000 0.5000
0.5000 0.0000 0.5000
0.5000 0.5000 0.0000
```

---

A plane-wave DFT calculation with meta-GGA SCAN was carried out for a crystal of Li2GeSb relaxed with PBEsol.

Symmetry: No. 122
Density of states at the Fermi level: 2.27 states/eV per cell
Formation energy (no corrections): -0.216 eV/atom

POSCAR file:
```
Li2GeSb
1.0
-2.0693 2.0693 9.2205
2.0693 -2.0693 9.2205
2.0693 2.0693 -9.2205
Li Ge Sb
4 2 2
direct
0.1068 0.6250 0.9818
0.3750 0.3568 0.4818
0.6432 0.1250 0.0182
0.8750 0.8932 0.5182
0.0000 0.0000 0.0000
0.7500 0.2500 0.5000
0.2500 0.7500 0.5000
0.5000 0.5000 0.0000
```

---

Number 1: energy -44.927 eV per atom. Number 2: energy -9.616 eV per atom. Number 3: energy -15.707 eV per atom. Number 4: energy -45.075 eV per atom. Number 5: energy -15.759 eV per atom. Number 6: energy -24.154 eV per atom. Number 7: energy -19.039 eV per atom. Number 8: energy -17.993 eV per atom. Number 9: energy -11.322 eV per atom. Number 10: energy -19.138 eV per atom. Number 11: energy -10.058 eV per atom. Number 12: energy -15.498 eV per atom.